Run A
The following is a PBE calculation of crystalline NaMg2H6 at its relaxed geometry, from the Alexandria database.

Geometry as POSCAR:
```
NaMg2H6
1.0
3.0992 0.0000 0.0000
0.0000 5.4272 0.0000
0.0000 -2.7136 4.7001
Mg H Na
2 6 1
Cartesian
2.3328 0.0000 3.1334
0.7664 2.7136 1.5667
2.3521 1.2642 1.5251
0.7471 -0.6886 1.8574
2.3521 3.4022 2.8427
2.3521 3.4744 0.3323
0.7471 -0.7608 4.3678
0.7471 1.4494 3.1751
1.5496 0.0000 0.0000
```

Calculated values
total moment: 0.00 μB/f.u.
space group: P-3, No. 147

Run B
The following is a PBE calculation of crystalline NaMg2H6 at its relaxed geometry, from the Alexandria database.

Geometry as POSCAR:
```
NaMg2H6
1.0
1.6366 2.2361 3.9573
-0.9097 -1.8487 4.3696
3.5769 -1.9690 2.5822
H Mg Na
6 2 1
Cartesian
0.8429 -1.2431 4.9907
1.9316 0.5034 4.8144
3.4609 -0.3385 5.9184
1.5426 -0.2871 6.6826
2.3722 -2.0850 6.0947
2.7611 -1.2946 4.2264
3.2278 -1.1862 8.1818
1.0759 -0.3954 2.7273
0.0000 0.0000 0.0000
```

Calculated values
total moment: 0.00 μB/f.u.
space group: Fm-3m, No. 225

Ordering by calculated energy gives the sequence run A, run B, with the first entry being the most stable.

Run A
The following is a PBE calculation of crystalline MgNb2H at its relaxed geometry, from the Alexandria database.

Geometry as POSCAR:
```
MgNb2H
1.0
-0.7860 -5.7254 0.7109
4.9534 -1.0375 -2.8793
4.1774 -3.2285 2.4627
Nb Mg H
4 2 2
Cartesian
1.3684 -3.0863 0.5227
3.8458 -3.6001 -0.9176
5.9321 -5.2164 0.3153
5.5434 -8.0800 0.6683
0.0000 0.0000 0.0000
2.7376 -6.1677 1.0447
2.0837 -3.3815 -1.0842
5.6073 -3.8237 -0.7504
```

Calculated values
total moment: 0.00 μB/f.u.
space group: Fd-3m, No. 227

Run B
The following is a PBE calculation of crystalline MgNb2H at its relaxed geometry, from the Alexandria database.

Geometry as POSCAR:
```
MgNb2H
1.0
0.0000 3.1427 3.1427
3.1427 0.0000 3.1427
3.1427 3.1427 0.0000
H Mg Nb
1 1 2
Cartesian
0.0000 0.0000 0.0000
3.1427 3.1427 3.1427
4.7141 4.7141 4.7141
1.5714 1.5714 1.5714
```

Calculated values
total moment: 0.00 μB/f.u.
space group: Fm-3m, No. 225

Ordering by calculated energy gives the sequence run A, run B, with the first entry being the most stable.

Run A
The following is a PBE calculation of crystalline MgNb3H at its relaxed geometry, from the Alexandria database.

Geometry as POSCAR:
```
MgNb3H
1.0
4.2416 0.0000 0.0000
0.0000 4.2416 0.0000
0.0000 0.0000 4.2416
Nb H Mg
3 1 1
Cartesian
0.0000 2.1208 0.0000
0.0000 0.0000 2.1208
2.1208 0.0000 0.0000
0.0000 0.0000 0.0000
2.1208 2.1208 2.1208
```

Calculated values
total moment: 0.00 μB/f.u.
space group: Pm-3m, No. 221

Run B
The following is a PBE calculation of crystalline MgNb3H at its relaxed geometry, from the Alexandria database.

Geometry as POSCAR:
```
MgNb3H
1.0
4.7866 0.0000 0.0000
0.0000 4.7866 0.0000
0.0000 0.0000 4.7866
Mg Nb H
1 3 1
Cartesian
0.0000 0.0000 0.0000
2.3933 0.0000 0.0000
0.0000 0.0000 2.3933
0.0000 2.3933 0.0000
2.3933 2.3933 2.3933
```

Calculated values
total moment: 0.00 μB/f.u.
space group: Pm-3m, No. 221

Ordering by calculated energy gives the sequence run A, run B, with the first entry being the most stable.

Run A
The following is a PBE calculation of crystalline NdMgH at its relaxed geometry, from the Alexandria database.

Geometry as POSCAR:
```
NdMgH
1.0
3.3043 0.0000 0.0000
0.0000 3.3043 0.0000
-1.6522 -1.6522 6.1267
H Mg Nd
1 1 1
Cartesian
0.0000 0.0000 3.1484
0.0000 0.0000 0.1691
1.6522 1.6522 2.8091
```

Calculated values
total moment: 0.00 μB/f.u.
space group: I4mm, No. 107

Run B
The following is a PBE calculation of crystalline NdMgH at its relaxed geometry, from the Alexandria database.

Geometry as POSCAR:
```
NdMgH
1.0
-2.0670 -2.5888 1.2274
3.3944 -0.6479 -0.7344
1.4266 1.4011 5.3575
Nd Mg H
1 1 1
Cartesian
0.3737 -1.3326 2.9030
1.3137 1.2901 4.9334
2.4932 -0.3921 3.3717
```

Calculated values
total moment: 0.00 μB/f.u.
space group: P3m1, No. 156

Ordering by calculated energy gives the sequence run B, run A, with the first entry being the most stable.

Run A
The following is a PBE calculation of crystalline Mg2NiH at its relaxed geometry, from the Alexandria database.

Geometry as POSCAR:
```
Mg2NiH
1.0
6.0563 0.0000 0.0000
0.0000 6.0563 0.0000
3.0281 3.0281 2.9615
H Mg Ni
2 4 2
Cartesian
3.0281 3.0281 0.0000
3.0281 6.0563 1.4807
7.5703 7.1234 2.2211
4.5422 4.9891 2.2211
1.9610 4.5422 0.7404
4.0953 1.5141 0.7404
0.0000 0.0000 0.0000
6.0563 3.0281 1.4807
```

Calculated values
total moment: 0.00 μB/f.u.
space group: I-42d, No. 122

Run B
The following is a PBE calculation of crystalline Mg2NiH at its relaxed geometry, from the Alexandria database.

Geometry as POSCAR:
```
Mg2NiH
1.0
3.1207 0.5382 2.9144
-0.2466 3.2176 2.8475
-0.7605 -0.8522 4.1494
Mg Ni H
2 1 1
Cartesian
0.5284 0.7259 2.4778
1.5852 2.1777 7.4334
1.0568 1.4518 4.9556
0.0000 0.0000 0.0000
```

Calculated values
total moment: 0.00 μB/f.u.
space group: Fm-3m, No. 225

Ordering by calculated energy gives the sequence run A, run B, with the first entry being the most stable.

Run A
The following is a PBE calculation of crystalline Mg2NiH4 at its relaxed geometry, from the Alexandria database.

Geometry as POSCAR:
```
Mg2NiH4
1.0
-4.7941 -2.8710 3.0249
-0.8380 -3.9285 -5.0567
8.4489 -8.5693 5.2572
H Mg Ni
32 16 8
Cartesian
1.3331 -7.0907 -1.4474
-0.7179 -4.6414 1.5952
3.6912 -10.3232 5.8958
1.4837 -8.2780 4.6727
-0.3353 -3.0094 -0.2179
1.1848 -10.1703 2.0686
-2.2315 -4.6410 -0.3749
-2.4413 -2.5844 1.1086
0.6440 -8.1030 0.7608
5.0483 -10.7278 3.6002
5.4983 -9.3903 0.2660
-3.5683 -3.7282 3.2613
3.6070 -8.1201 -1.2332
-1.6192 -8.0943 2.2065
3.8539 -8.6618 4.0963
2.2612 -10.2902 -0.4017
5.2581 -12.7843 2.1167
0.5556 -5.0785 3.6270
7.5305 -9.7101 3.4757
4.4360 -7.2744 1.0188
-0.7903 -7.2487 4.4586
-2.6815 -5.9784 2.9593
-3.2004 -7.8413 0.3688
1.6320 -5.1984 1.1568
-4.7137 -5.6586 -0.2503
-1.0371 -6.7069 -0.8710
2.1727 -7.2657 2.4645
3.1520 -12.3594 3.4432
6.0171 -7.5274 2.8565
6.3851 -11.6405 -0.0360
-0.8744 -5.0455 -2.6704
3.5347 -10.7273 1.6301
-1.0779 -1.0762 0.4408
4.3217 -10.9721 -0.2275
2.7887 -5.1906 2.9965
4.7407 -9.0078 2.3009
0.8648 -3.0893 1.7754
4.4332 -12.2567 5.2375
3.8947 -14.2925 2.7845
-1.6164 -3.1120 -2.0122
2.3710 -10.3152 3.9783
0.4458 -5.0536 -0.7529
-1.9239 -6.3609 0.9245
1.9520 -12.2794 1.4499
0.3276 -8.2854 2.8326
-1.5049 -4.3966 3.4528
2.4892 -7.0833 0.3927
0.0281 -10.1781 0.2288
2.6855 -7.6602 3.8983
0.3468 -4.3370 -3.3280
0.1313 -7.7085 -0.6730
2.4700 -11.0317 6.5533
0.0409 -10.9573 2.7742
-1.4597 -3.7055 0.6046
2.7758 -4.4115 0.4511
4.2765 -11.6632 2.6207
```

Calculated values
total moment: 0.00 μB/f.u.
space group: Pccn, No. 56

Run B
The following is a PBE calculation of crystalline Mg2NiH4 at its relaxed geometry, from the Alexandria database.

Geometry as POSCAR:
```
Mg2NiH4
1.0
-2.2616 2.2834 3.1918
2.2616 -2.2834 3.1918
2.2616 2.2834 -3.1918
Mg Ni H
2 1 4
Cartesian
0.0000 2.2533 1.6081
2.2616 -0.0300 1.5836
0.0000 4.3956 0.0000
1.0932 1.0904 3.1918
0.0000 0.2400 1.4697
0.0000 0.2400 4.9138
1.1684 3.3737 0.0000
```

Calculated values
total moment: 0.00 μB/f.u.
space group: Imm2, No. 44

Run C
The following is a PBE calculation of crystalline Mg2NiH4 at its relaxed geometry, from the Alexandria database.

Geometry as POSCAR:
```
Mg2NiH4
1.0
2.9318 0.0000 0.0000
0.0000 4.9823 -0.3275
-1.4659 -2.7153 4.4359
Ni H Mg
1 4 2
Cartesian
0.0000 0.0000 0.0000
0.0000 3.4783 0.7585
0.0000 1.8792 3.1991
1.4659 0.3878 0.9094
1.4659 -1.2114 3.3499
1.4659 2.3127 1.4268
0.0000 -0.0458 2.6816
```

Calculated values
total moment: 0.00 μB/f.u.
space group: C2/m, No. 12

Ordering by calculated energy gives the sequence run A, run B, run C, with the first entry being the most stable.

Run A
The following is a PBE calculation of crystalline MgNi2H at its relaxed geometry, from the Alexandria database.

Geometry as POSCAR:
```
MgNi2H
1.0
-2.4928 -1.0736 -0.3901
-0.2580 -2.5307 -1.0236
-0.8093 -3.5650 5.3453
Ni H Mg
2 1 1
Cartesian
-2.6606 -5.5859 3.4627
-0.8996 -1.5835 0.4689
0.0000 0.0000 0.0000
-1.7801 -3.5847 1.9658
```

Calculated values
total moment: 0.00 μB/f.u.
space group: R-3m, No. 166

Run B
The following is a PBE calculation of crystalline MgNi2H at its relaxed geometry, from the Alexandria database.

Geometry as POSCAR:
```
MgNi2H
1.0
-2.6261 3.0255 -3.1079
-1.9744 -4.0688 -2.2926
-5.0200 -0.5056 -0.3865
H Mg Ni
2 2 4
Cartesian
-2.3002 -0.5216 -2.7002
-4.6473 -2.5480 -2.6896
0.0000 0.0000 0.0000
-4.9732 0.9991 -3.0973
-7.2968 -0.2747 -4.4420
-3.4739 -1.5347 -2.6950
-2.4865 0.4995 -1.5485
-5.9839 -1.7877 -2.8882
```

Calculated values
total moment: 0.00 μB/f.u.
space group: I4_1/amd, No. 141

Ordering by calculated energy gives the sequence run B, run A, with the first entry being the most stable.

Run A
The following is a PBE calculation of crystalline Mg3NiH at its relaxed geometry, from the Alexandria database.

Geometry as POSCAR:
```
Mg3NiH
1.0
-1.4855 -1.1212 3.7109
3.8197 0.2552 1.6061
-0.6619 3.9890 0.9403
Ni H Mg
1 1 3
Cartesian
0.8361 1.5615 3.1287
0.0000 0.0000 0.0000
1.9098 0.1276 0.8031
-0.7427 -0.5606 1.8555
-0.3310 1.9945 0.4701
```

Calculated values
total moment: 0.00 μB/f.u.
space group: Pm-3m, No. 221

Run B
The following is a PBE calculation of crystalline Mg3NiH at its relaxed geometry, from the Alexandria database.

Geometry as POSCAR:
```
Mg3NiH
1.0
4.8083 0.0000 0.0000
0.0000 4.8083 0.0000
0.0000 0.0000 4.8083
Ni Mg H
1 3 1
Cartesian
0.0000 0.0000 0.0000
0.0000 0.0000 2.4041
0.0000 2.4041 0.0000
2.4041 0.0000 0.0000
2.4041 2.4041 2.4041
```

Calculated values
total moment: 0.00 μB/f.u.
space group: Pm-3m, No. 221

Ordering by calculated energy gives the sequence run A, run B, with the first entry being the most stable.